Entry 1:
Computed, not measured: an optimized crystal structure of Li2Tm3Ge3 at the PBE-GGA level of DFT.

## Properties
Space-group type: Cmcm (63)
Electronic total energy (eV/atom): -4.550

abc: 5.878 5.878 14.012
angles: 90.00 90.00 138.38
Positions (direct):
Ge 0.399 0.601 0.045
Ge 0.666 0.334 0.250
Ge 0.399 0.601 0.455
Ge 0.601 0.399 0.545
Ge 0.334 0.666 0.750
Ge 0.601 0.399 0.955
Li 0.781 0.219 0.082
Li 0.781 0.219 0.418
Li 0.219 0.781 0.582
Li 0.219 0.781 0.918
Tm 0.074 0.926 0.116
Tm 0.363 0.637 0.250
Tm 0.074 0.926 0.384
Tm 0.926 0.074 0.616
Tm 0.637 0.363 0.750
Tm 0.926 0.074 0.884

Entry 2:
Computed, not measured: an optimized crystal structure of LiUGe at the PBE-GGA level of DFT.

## Properties
Space-group type: F-43m (216)
Electronic total energy (eV/atom): -5.317

abc: 4.694 4.694 4.694
angles: 60.00 60.00 60.00
Positions (direct):
Ge 0.250 0.250 0.250
Li 0.750 0.750 0.750
U 0.000 0.000 0.000

Entry 3:
Computed, not measured: an optimized crystal structure of LiUGe at the PBE-GGA level of DFT.

## Properties
Space-group type: F-43m (216)
Electronic total energy (eV/atom): -5.730

abc: 4.657 4.657 4.657
angles: 60.00 60.00 60.00
Positions (direct):
Ge 0.000 0.000 0.000
Li 0.250 0.250 0.250
U 0.750 0.750 0.750

Entry 4:
Computed, not measured: an optimized crystal structure of LiGeW at the PBE-GGA level of DFT.

## Properties
Energy above the most stable polymorph in this dataset (kJ/mol of formula units): 95
Space-group type: F-43m (216)
Electronic total energy (eV/atom): -5.587

abc: 4.237 4.237 4.237
angles: 60.00 60.00 60.00
Positions (direct):
Ge 0.250 0.250 0.250
Li 0.750 0.750 0.750
W 0.000 0.000 0.000

Entry 5:
Computed, not measured: an optimized crystal structure of LiGeW at the PBE-GGA level of DFT.

## Properties
Energy above the most stable polymorph in this dataset (kJ/mol of formula units): 0
Space-group type: F-43m (216)
Electronic total energy (eV/atom): -5.913

abc: 4.170 4.170 4.170
angles: 60.00 60.00 60.00
Positions (direct):
Ge 0.000 0.000 0.000
Li 0.250 0.250 0.250
W 0.750 0.750 0.750

Entry 6:
Computed, not measured: an optimized crystal structure of LiGeW2 at the PBE-GGA level of DFT.

## Properties
Space-group type: F-43m (216)
Electronic total energy (eV/atom): -7.902

abc: 4.376 4.376 4.376
angles: 60.00 60.00 60.00
Positions (direct):
Ge 0.500 0.500 0.500
Li 0.250 0.250 0.250
W 0.000 0.000 0.000
W 0.750 0.750 0.750

no.,magnetization (Bohr magnetons per cell)
1,1.71
2,2.99
3,3.00
4,1.39
5,1.33
6,0.00